# 1
Material: NaMg6CrO8
Method: DFT, PBE+U
State: optimized geometry

abc: 4.262 4.262 8.632
angles: 90.00 90.00 90.00
Positions (direct):
O 0.500 0.500 0.238
Mg 0.000 0.000 0.500
O 0.500 0.000 0.000
Cr 0.500 0.500 0.000
O 0.000 0.000 0.735
Mg 0.000 0.500 0.250
Mg 0.500 0.500 0.500
O 0.500 0.000 0.500
O 0.000 0.000 0.265
O 0.000 0.500 0.500
O 0.500 0.500 0.762
O 0.000 0.500 0.000
Mg 0.000 0.500 0.750
Na 0.000 0.000 0.000
Mg 0.500 0.000 0.750
Mg 0.500 0.000 0.250

---

# 2
Material: NaMg6CrO8
Method: DFT, PBE+U
State: optimized geometry

abc: 4.283 4.283 8.623
angles: 90.00 90.00 90.00
Positions (direct):
Mg 0.500 0.000 0.238
O 0.000 0.500 0.500
O 0.500 0.000 0.500
Mg 0.500 0.500 0.500
O 0.000 0.000 0.272
Mg 0.500 0.500 0.000
Mg 0.500 0.000 0.762
Mg 0.000 0.500 0.238
Mg 0.000 0.500 0.762
O 0.000 0.500 0.000
O 0.500 0.000 0.000
O 0.500 0.500 0.746
O 0.000 0.000 0.728
Cr 0.000 0.000 0.500
Na 0.000 0.000 0.000
O 0.500 0.500 0.254

---

no.,spin magnetization (μB/f.u.),energy relative to the lowest polymorph listed for this composition (kJ/mol of formula units)
1,2.98,0
2,2.99,4